# 1
A plane-wave DFT calculation with GGA-PBE was carried out for crystalline FeNiAu3 at its relaxed geometry.

The calculation puts the total moment at 3.8 μB/f.u. Its space group is Pm-3m (221). Its energy above the lowest structure with this stoichiometry is 11.3 kJ per mole of atoms.

Cell and atoms, written as POSCAR:
```
FeNiAu3
1.0
4.774 0.000 0.000
0.000 4.774 0.000
0.000 0.000 4.774
Fe Ni Au
1 1 3
Direct
0.000 0.000 0.000
0.500 0.500 0.500
0.000 0.000 0.500
0.000 0.500 0.000
0.500 0.000 0.000
```



# 2
A plane-wave DFT calculation with GGA-PBE was carried out for crystalline PuUZnOs at its relaxed geometry.

The calculation puts the total moment at 6.1 μB/f.u. Its space group is F-43m (216). For the electronic total energy, the calculation gives -9.61 eV/atom.

Cell and atoms, written as POSCAR:
```
PuUZnOs
1.0
0.000 3.313 3.313
3.313 0.000 3.313
3.313 3.313 0.000
Pu U Zn Os
1 1 1 1
Direct
0.000 0.000 0.000
0.250 0.250 0.250
0.750 0.750 0.750
0.500 0.500 0.500
```



# 3
A plane-wave DFT calculation with GGA-PBE was carried out for crystalline Sr2Zn3Pt at its relaxed geometry.

The calculation puts the total moment at 0.0 μB/f.u. Its space group is Fmmm (69). For the electronic total energy, the calculation gives -2.67 eV/atom.

Cell and atoms, written as POSCAR:
```
Sr2Zn3Pt
1.0
0.000 4.508 7.734
4.268 0.000 7.734
4.268 4.508 0.000
Sr Zn Pt
4 6 2
Direct
0.243 0.757 0.757
0.250 0.250 0.250
0.750 0.750 0.750
0.757 0.243 0.243
0.164 0.667 0.333
0.331 0.331 0.669
0.333 0.836 0.164
0.667 0.164 0.836
0.669 0.669 0.331
0.836 0.333 0.667
0.165 0.165 0.835
0.835 0.835 0.165
```